1.
AlPt2: optimized geometry, PBE.

```
AlPt2
1.0
3.4256 0.0000 0.0000
0.0000 3.4256 0.0000
0.0000 0.0000 4.7552
Al Pt
1 2
direct
0.0000 0.0000 0.0000 Al
0.0000 0.0000 0.5000 Pt
0.5000 0.5000 0.0000 Pt
```

## Properties
Energy of formation, meV per atom: 141

=====

2.
ZrAgCl2: optimized geometry, PBE.

```
ZrAgCl2
1.0
1.5832 -2.9999 0.0000
1.5832 2.9999 0.0000
0.0000 0.0000 11.0723
Zr Ag Cl
1 1 2
direct
0.0000 0.0000 0.0000 Zr
0.0000 0.0000 0.5000 Ag
0.5000 0.5000 0.1816 Cl
0.5000 0.5000 0.8184 Cl
```

## Properties
Energy above the most stable polymorph in this dataset, eV/f.u.: 0.955
E_form (uncorrected), eV/atom: -0.68

=====

3.
LiMg2Al: optimized geometry, PBE.

```
LiMg2Al
1.0
3.0747 0.0000 0.0000
-1.5373 2.6627 0.0000
0.0000 0.0000 9.7238
Li Mg Al
1 2 1
direct
0.0000 0.0000 0.0000 Li
0.0000 0.0000 0.4686 Mg
0.6667 0.3333 0.7416 Mg
0.6667 0.3333 0.2242 Al
```

## Properties
Energy of formation, meV per atom: -25

=====

4.
Pm2NiPb: optimized geometry, PBE.

```
Pm2NiPb
1.0
1.9320 1.1155 8.6989
-1.9320 1.1155 8.6989
0.0000 -2.2309 8.6989
Pm Ni Pb
2 1 1
direct
0.2304 0.2304 0.2304 Pm
0.7696 0.7696 0.7696 Pm
0.5000 0.5000 0.5000 Ni
0.0000 0.0000 0.0000 Pb
```

## Properties
Energy of formation, meV per atom: -287

=====

5.
CePm6Y2Tm3: optimized geometry, PBE.

```
CePm6Y2Tm3
1.0
3.1157 -5.3969 0.0000
3.1157 5.3969 0.0000
-2.0772 0.0000 11.6437
Ce Pm Y Tm
1 6 2 3
direct
0.0000 0.0000 0.0000 Ce
0.0837 0.4148 0.2523 Pm
0.2473 0.2473 0.7477 Pm
0.4148 0.0837 0.2523 Pm
0.5852 0.9163 0.7477 Pm
0.7527 0.7527 0.2523 Pm
0.9163 0.5852 0.7477 Pm
0.3335 0.6665 0.0000 Y
0.6665 0.3335 0.0000 Y
0.1672 0.8328 0.5000 Tm
0.5000 0.5000 0.5000 Tm
0.8328 0.1672 0.5000 Tm
```

## Properties
Energy of formation, meV per atom: 40

=====

6.
ZrCdIr2W: optimized geometry, PBE.

```
ZrCdIr2W
1.0
4.8745 0.0000 0.0000
0.0000 4.8745 0.0000
0.0000 0.0000 4.9078
Zr Cd Ir W
1 1 2 1
direct
0.0000 0.0000 0.0000 Zr
0.5000 0.5000 0.5000 Cd
0.0000 0.5000 0.0000 Ir
0.5000 0.0000 0.0000 Ir
0.0000 0.0000 0.5000 W
```

## Properties
Energy of formation, meV per atom: 1789

=====

7.
Cu2SbMo: optimized geometry, PBE.

```
Cu2SbMo
1.0
3.3360 0.0000 0.0000
0.0000 3.3360 0.0000
0.0000 0.0000 5.6947
Cu Sb Mo
2 1 1
direct
0.0000 0.0000 0.0000 Cu
0.5000 0.5000 0.1930 Cu
0.5000 0.5000 0.7116 Sb
0.0000 0.0000 0.4655 Mo
```

## Properties
E_form (uncorrected), eV/atom: 0.29

=====

8.
LiBiIr: optimized geometry, PBE.

```
LiBiIr
1.0
2.2275 1.2861 7.1751
-2.2275 1.2861 7.1751
0.0000 -2.5721 7.1751
Li Bi Ir
2 2 2
direct
0.0000 0.0000 0.0000 Li
0.1593 0.1593 0.1593 Li
0.4201 0.4201 0.4201 Bi
0.5825 0.5825 0.5825 Bi
0.2923 0.2923 0.2923 Ir
0.7110 0.7110 0.7110 Ir
```

## Properties
Energy of formation, meV per atom: -98

=====

Repeat the second record exactly.
ZrAgCl2: optimized geometry, PBE.

```
ZrAgCl2
1.0
1.5832 -2.9999 0.0000
1.5832 2.9999 0.0000
0.0000 0.0000 11.0723
Zr Ag Cl
1 1 2
direct
0.0000 0.0000 0.0000 Zr
0.0000 0.0000 0.5000 Ag
0.5000 0.5000 0.1816 Cl
0.5000 0.5000 0.8184 Cl
```

## Properties
Energy above the most stable polymorph in this dataset, eV/f.u.: 0.955
E_form (uncorrected), eV/atom: -0.68